1.
Below is a relaxed structure of AcCd2GaAu4, with properties calculated at the GGA-PBE level.

Summary:
spin magnetization = 0.0 μB per formula unit
calculated volume = 179.04 Å³/cell
space-group type = R-3m, No. 166
formation enthalpy at 0 K = -3.2 eV/f.u.

abc: 9.705 9.705 9.705
angles: 28.09 28.09 28.09
Sites, in units of the cell vectors:
Ac1 0.000 0.000 0.000
Cd1 0.241 0.241 0.241
Cd2 0.759 0.759 0.759
Ga1 0.500 0.500 0.500
Au1 0.133 0.133 0.133
Au2 0.397 0.397 0.397
Au3 0.603 0.603 0.603
Au4 0.867 0.867 0.867

=====

2.
Below is a relaxed structure of Ac2CdGaAu6, with properties calculated at the GGA-PBE level.

Summary:
spin magnetization = 0.0 μB per formula unit
calculated volume = 248.42 Å³/cell
space-group type = P-1, No. 2
formation enthalpy at 0 K = -5.1 eV/f.u.

abc: 5.680 7.088 7.305
angles: 79.88 67.13 66.50
Sites, in units of the cell vectors:
Ac1 0.248 0.219 0.283
Ac2 0.752 0.781 0.717
Cd1 0.500 0.500 0.500
Ga1 0.000 0.000 0.000
Au1 0.233 0.773 0.254
Au2 0.251 0.593 0.907
Au3 0.263 0.225 0.749
Au4 0.737 0.775 0.251
Au5 0.749 0.407 0.093
Au6 0.767 0.227 0.746

=====

3.
Below is a relaxed structure of AcCdGa2Au4, with properties calculated at the GGA-PBE level.

Summary:
spin magnetization = 0.0 μB per formula unit
calculated volume = 175.10 Å³/cell
space-group type = R-3m, No. 166
formation enthalpy at 0 K = -3.4 eV/f.u.

abc: 10.198 10.198 10.198
angles: 25.66 25.66 25.66
Sites, in units of the cell vectors:
Ac1 0.000 0.000 0.000
Cd1 0.500 0.500 0.500
Ga1 0.242 0.242 0.242
Ga2 0.758 0.758 0.758
Au1 0.124 0.124 0.124
Au2 0.397 0.397 0.397
Au3 0.603 0.603 0.603
Au4 0.876 0.876 0.876

=====

4.
Below is a relaxed structure of AcCdGaAu, with properties calculated at the GGA-PBE level.

Summary:
spin magnetization = 0.0 μB per formula unit
calculated volume = 99.97 Å³/cell
space-group type = F-43m, No. 216
formation enthalpy at 0 K = -1.9 eV/f.u.

abc: 5.209 5.209 5.209
angles: 60.00 60.00 60.00
Sites, in units of the cell vectors:
Ac1 0.000 0.000 0.000
Cd1 0.500 0.500 0.500
Ga1 0.250 0.250 0.250
Au1 0.750 0.750 0.750

=====

5.
Below is a relaxed structure of Ac2Cd3Ga4Au, with properties calculated at the GGA-PBE level.

Summary:
spin magnetization = 0.0 μB per formula unit
calculated volume = 239.28 Å³/cell
space-group type = P-4m2, No. 115
formation enthalpy at 0 K = -4.3 eV/f.u.

abc: 4.641 4.641 11.111
angles: 90.00 90.00 90.00
Sites, in units of the cell vectors:
Ac1 0.000 0.500 0.246
Ac2 0.500 0.000 0.754
Cd1 0.000 0.000 0.000
Cd2 0.000 0.500 0.633
Cd3 0.500 0.000 0.367
Ga1 0.000 0.000 0.500
Ga2 0.000 0.500 0.873
Ga3 0.500 0.000 0.127
Ga4 0.500 0.500 0.500
Au1 0.500 0.500 0.000

=====

6.
Below is a relaxed structure of AcCdGa2Au2, with properties calculated at the GGA-PBE level.

Summary:
spin magnetization = 0.0 μB per formula unit
calculated volume = 135.50 Å³/cell
space-group type = P-3m1, No. 164
formation enthalpy at 0 K = -3.1 eV/f.u.

abc: 4.562 4.562 7.518
angles: 90.00 90.00 120.00
Sites, in units of the cell vectors:
Ac1 0.000 0.000 0.000
Cd1 0.000 0.000 0.500
Ga1 0.333 0.667 0.713
Ga2 0.667 0.333 0.287
Au1 0.333 0.667 0.299
Au2 0.667 0.333 0.701

=====

7.
Below is a relaxed structure of AcGdCdAu, with properties calculated at the GGA-PBE level.

Summary:
spin magnetization = 7.1 μB per formula unit
calculated volume = 114.90 Å³/cell
space-group type = F-43m, No. 216
formation enthalpy at 0 K = -2.0 eV/f.u.

abc: 5.457 5.457 5.457
angles: 60.00 60.00 60.00
Sites, in units of the cell vectors:
Ac1 0.000 0.000 0.000
Gd1 0.500 0.500 0.500
Cd1 0.750 0.750 0.750
Au1 0.250 0.250 0.250

=====

8.
Below is a relaxed structure of Ac3CdGe6Au2, with properties calculated at the GGA-PBE level.

Summary:
spin magnetization = 0.0 μB per formula unit
calculated volume = 308.36 Å³/cell
space-group type = P-3m1, No. 164
formation enthalpy at 0 K = -4.6 eV/f.u.

abc: 6.299 6.299 8.975
angles: 90.00 90.00 120.00
Sites, in units of the cell vectors:
Ac1 0.000 0.000 0.000
Ac2 0.333 0.667 0.641
Ac3 0.667 0.333 0.359
Cd1 0.000 0.000 0.500
Ge1 0.198 0.396 0.282
Ge2 0.198 0.802 0.282
Ge3 0.396 0.198 0.718
Ge4 0.604 0.802 0.282
Ge5 0.802 0.198 0.718
Ge6 0.802 0.604 0.718
Au1 0.333 0.667 0.002
Au2 0.667 0.333 0.998

=====

> Look up the formation enthalpy at 0 K of the second one.

-5.1 eV/f.u.

=====

> What is the formation enthalpy at 0 K in the seventh record?

-2.0 eV/f.u.